# 1
Material: Mg2GeHIr
Method: DFT, GGA-PBEsol
State: relaxed

Calculated values
SG: P4/mmm (123)
N(E_F) (states/eV per cell): 2.768
E (eV/atom): -3.418
Magnetization (μB/atom): 0.1920

Cell: 4.510 5.040 5.040 Å, 90.00 90.00 90.00°
Site moments in Bohr magnetons follow the coordinates.
Positions (direct):
Ge1 0.000 0.000 0.000  0.02
Ir1 0.500 0.000 0.000  0.42
Mg1 0.000 0.500 0.000  0.01
Mg2 0.000 0.000 0.500  0.01
H1 0.500 0.500 0.500  0.20

---

# 2
Material: BaTc2Mo
Method: DFT, GGA-PBEsol
State: relaxed

Calculated values
SG: Immm (71)
Formation energy (eV per atom): 1.15
N(E_F) (states/eV per cell): 3.841
Magnetization (μB/atom): 0.0000

Cell: 3.059 5.334 5.620 Å, 118.33 105.79 90.00°
Positions (direct):
Tc1 0.286 0.286 0.572
Tc2 0.714 0.714 0.428
Ba1 0.500 0.000 0.000
Mo1 0.000 0.500 0.000

---

# 3
Material: InReSi2
Method: DFT, GGA-PBEsol
State: relaxed

Calculated values
E_form (uncorrected) (meV per atom): 576
SG: I-4m2 (119)
N(E_F) (states/eV per cell): 2.446
Magnetization (μB/atom): 0.0000

Cell: 3.924 3.924 4.865 Å, 113.78 113.78 90.00°
Positions (direct):
Si1 0.750 0.250 0.500
Re1 0.250 0.750 0.500
Si2 0.000 0.000 0.000
In1 0.500 0.500 0.000

---

# 4
Material: Pr3Si2S8Br
Method: DFT, GGA-PBEsol
State: relaxed

Calculated values
E_form (uncorrected) (meV per atom): -1535
SG: C2/c (15)
N(E_F) (states/eV per cell): 0.000
Magnetization (μB/atom): 0.0000

Cell: 7.712 8.666 10.839 Å, 96.58 90.00 116.42°
Positions (direct):
Pr1 0.316 0.391 0.684
Si1 0.306 0.679 0.470
S1 0.552 0.296 0.838
S2 0.141 0.429 0.915
Br1 0.006 0.000 0.750
Pr2 0.925 0.609 0.816
S3 0.744 0.296 0.338
S4 0.408 0.129 0.548
Pr3 0.684 0.609 0.316
S5 0.602 0.706 0.854
S6 0.896 0.294 0.646
Pr4 0.609 0.000 0.750
S7 0.256 0.704 0.662
S8 0.288 0.429 0.415
Pr5 0.075 0.391 0.184
Si2 0.374 0.679 0.970
S9 0.448 0.704 0.162
S10 0.712 0.571 0.585
Br2 0.994 0.000 0.250
S11 0.721 0.129 0.048
S12 0.104 0.706 0.354
S13 0.279 0.871 0.952
Si3 0.626 0.321 0.030
Si4 0.694 0.321 0.530
S14 0.398 0.294 0.146
Pr6 0.391 0.000 0.250
S15 0.592 0.871 0.452
S16 0.859 0.571 0.085

---

# 5
Material: BeHgW2
Method: DFT, GGA-PBEsol
State: relaxed

Calculated values
SG: Cmmm (65)
Formation energy (eV per atom): 0.69
N(E_F) (states/eV per cell): 1.677
Magnetization (μB/atom): 0.0000

Cell: 2.721 5.019 5.019 Å, 116.76 90.00 90.00°
Positions (direct):
Be1 0.500 0.000 0.000
W1 0.000 0.500 0.000
Hg1 0.500 0.500 0.500
W2 0.000 0.000 0.500

---

# 6
Material: BiAuBr6
Method: DFT, GGA-PBEsol
State: relaxed

Calculated values
E_form (uncorrected) (meV per atom): -428
SG: P-1 (2)
Magnetization (μB/atom): 0.0000

Cell: 7.647 10.424 14.570 Å, 104.07 95.41 110.98°
Positions (direct):
Br1 0.368 0.266 0.249
Br2 0.330 0.415 0.781
Br3 0.259 0.565 0.025
Br4 0.268 0.850 0.744
Au1 0.699 0.366 0.234
Br5 0.221 0.279 0.479
Bi1 0.592 0.925 0.621
Br6 0.296 0.632 0.493
Br7 0.632 0.734 0.751
Br8 0.228 0.893 0.027
Br9 0.779 0.721 0.521
Bi2 0.408 0.075 0.379
Br10 0.251 0.202 0.971
Bi3 0.023 0.687 0.129
Au2 0.500 0.500 0.500
Au3 0.301 0.634 0.766
Br11 0.741 0.435 0.975
Br12 0.670 0.585 0.219
Br13 0.976 0.054 0.726
Br14 0.732 0.150 0.256
Bi4 0.977 0.313 0.871
Br15 0.032 0.461 0.219
Br16 0.704 0.368 0.507
Br17 0.749 0.798 0.029
Br18 0.393 0.808 0.260
Br19 0.968 0.539 0.781
Br20 0.747 0.047 0.480
Au4 0.000 0.000 0.000
Br21 0.253 0.953 0.520
Br22 0.024 0.946 0.274
Br23 0.772 0.107 0.973
Br24 0.607 0.192 0.740

---

# 7
Material: AgB6Cl6
Method: DFT, GGA-PBEsol
State: relaxed

Calculated values
E_form (uncorrected) (meV per atom): -665
SG: Pa-3 (205)
N(E_F) (states/eV per cell): 0.000
Magnetization (μB/atom): 0.0000

Cell: 12.322 12.322 12.322 Å, 90.00 90.00 90.00°
Positions (direct):
Cl1 0.864 0.303 0.353
B1 0.932 0.405 0.429
B2 0.868 0.529 0.470
Cl2 0.056 0.054 0.273
B3 0.471 0.970 0.632
B4 0.030 0.368 0.529
Cl3 0.647 0.136 0.697
B5 0.905 0.071 0.068
Cl4 0.636 0.803 0.353
B6 0.932 0.095 0.929
Cl5 0.853 0.636 0.697
B7 0.632 0.029 0.470
Cl6 0.353 0.864 0.303
B8 0.929 0.932 0.095
B9 0.132 0.471 0.530
B10 0.571 0.432 0.095
Cl7 0.364 0.197 0.647
B11 0.432 0.405 0.071
Cl8 0.444 0.946 0.773
Ag1 0.136 0.864 0.364
Cl9 0.944 0.946 0.727
Cl10 0.303 0.147 0.364
B12 0.929 0.568 0.595
Cl11 0.054 0.273 0.056
Cl12 0.773 0.056 0.446
B13 0.905 0.429 0.568
B14 0.632 0.471 0.970
Cl13 0.647 0.364 0.197
B15 0.068 0.905 0.071
Cl14 0.803 0.147 0.136
Cl15 0.864 0.197 0.853
Cl16 0.727 0.556 0.446
Cl17 0.227 0.944 0.554
B16 0.568 0.595 0.929
Ag2 0.364 0.136 0.864
B17 0.029 0.030 0.132
Ag3 0.864 0.364 0.136
Cl18 0.147 0.364 0.303
B18 0.405 0.429 0.932
B19 0.068 0.595 0.571
Cl19 0.556 0.054 0.227
B20 0.529 0.470 0.868
B21 0.368 0.529 0.030
B22 0.432 0.095 0.571
Cl20 0.944 0.554 0.227
Cl21 0.946 0.773 0.444
Cl22 0.054 0.227 0.556
Cl23 0.147 0.136 0.803
Cl24 0.136 0.697 0.647
B23 0.971 0.970 0.868
Cl25 0.727 0.944 0.946
B24 0.971 0.530 0.368
Cl26 0.227 0.556 0.054
Cl27 0.773 0.444 0.946
Ag4 0.636 0.636 0.636
Cl28 0.364 0.303 0.147
B25 0.568 0.905 0.429
B26 0.471 0.530 0.132
Cl29 0.444 0.554 0.273
B27 0.095 0.929 0.932
Ag5 0.636 0.864 0.136
Cl30 0.446 0.727 0.556
B28 0.529 0.030 0.368
B29 0.095 0.571 0.432
B30 0.030 0.132 0.029
B31 0.595 0.929 0.568
Cl31 0.197 0.647 0.364
Cl32 0.056 0.446 0.773
B32 0.429 0.568 0.905
B33 0.970 0.868 0.971
Cl33 0.697 0.647 0.136
Cl34 0.554 0.273 0.444
B34 0.868 0.971 0.970
B35 0.132 0.029 0.030
Cl35 0.273 0.056 0.054
B36 0.405 0.071 0.432
Cl36 0.554 0.227 0.944
B37 0.530 0.132 0.471
Cl37 0.303 0.353 0.864
Ag6 0.136 0.636 0.864
Cl38 0.353 0.636 0.803
B38 0.595 0.571 0.068
Cl39 0.946 0.727 0.944
Cl40 0.697 0.853 0.636
Cl41 0.136 0.803 0.147
Cl42 0.197 0.853 0.864
B39 0.970 0.632 0.471
B40 0.071 0.068 0.905
Cl43 0.803 0.353 0.636
B41 0.470 0.868 0.529
B42 0.571 0.068 0.595
B43 0.071 0.432 0.405
Cl44 0.636 0.697 0.853
Ag7 0.364 0.364 0.364
B44 0.368 0.971 0.530
Cl45 0.446 0.773 0.056
Ag8 0.864 0.136 0.636
Cl46 0.273 0.444 0.554
B45 0.429 0.932 0.405
B46 0.530 0.368 0.971
B47 0.470 0.632 0.029
Cl47 0.556 0.446 0.727
B48 0.029 0.470 0.632
Cl48 0.853 0.864 0.197

---

# 8
Material: RbLiNO2
Method: DFT, GGA-PBEsol
State: relaxed

Calculated values
E_form (uncorrected) (meV per atom): 404
SG: P4/mmm (123)
N(E_F) (states/eV per cell): 3.505
Magnetization (μB/atom): 1.0000

Cell: 4.026 4.026 4.381 Å, 90.00 90.00 90.00°
Site moments in Bohr magnetons follow the coordinates.
Positions (direct):
O1 0.000 0.500 0.000  1.01
N1 0.000 0.000 0.500  1.69
Rb1 0.500 0.500 0.500  0.04
O2 0.500 0.000 0.000  1.01
Li1 0.000 0.000 0.000  0.00

---

# 9
Material: ZnSb2Br2
Method: DFT, GGA-PBEsol
State: relaxed

Calculated values
E_form (uncorrected) (meV per atom): 353
SG: I4/mmm (139)
N(E_F) (states/eV per cell): 2.898
Magnetization (μB/atom): 0.0001

Cell: 4.876 4.876 7.209 Å, 109.77 109.77 90.00°
Positions (direct):
Zn1 0.000 0.000 0.000
Sb1 0.606 0.606 0.213
Br1 0.250 0.750 0.500
Sb2 0.394 0.394 0.787
Br2 0.750 0.250 0.500

---

# 10
Material: SrAl12O19
Method: DFT, GGA-PBEsol
State: relaxed

Calculated values
E_form (uncorrected) (meV per atom): -3085
SG: P6_3mc (186)
N(E_F) (states/eV per cell): 0.000
Magnetization (μB/atom): 0.0000

Cell: 5.585 5.585 21.964 Å, 90.00 90.00 120.00°
Positions (direct):
Sr1 0.333 0.667 0.751
O1 0.154 0.309 0.052
O2 0.845 0.155 0.948
O3 0.310 0.155 0.948
O4 0.155 0.845 0.448
Al1 0.000 0.000 0.500
O5 0.498 0.995 0.851
Al2 0.169 0.831 0.608
O6 0.846 0.691 0.552
O7 0.846 0.154 0.552
O8 0.333 0.667 0.554
Al3 0.665 0.832 0.891
O9 0.154 0.846 0.052
O10 0.309 0.154 0.552
O11 0.995 0.498 0.351
Al4 0.169 0.338 0.608
Al5 0.335 0.168 0.391
O12 0.000 0.000 0.151
O13 0.502 0.005 0.148
O14 0.000 0.000 0.851
Al6 0.333 0.667 0.309
O15 0.000 0.000 0.351
O16 0.005 0.502 0.851
Al7 0.333 0.667 0.190
Al8 0.832 0.665 0.391
O17 0.364 0.182 0.749
O18 0.502 0.498 0.351
Al9 0.667 0.333 0.690
Al10 0.662 0.831 0.608
O19 0.000 0.000 0.651
Al11 0.000 0.000 0.000
Al12 0.667 0.333 0.809
O20 0.182 0.364 0.249
O21 0.502 0.005 0.351
O22 0.498 0.502 0.851
Al13 0.667 0.333 0.528
Al14 0.667 0.333 0.971
O23 0.333 0.667 0.946
Al15 0.168 0.335 0.891
O24 0.995 0.498 0.148
Al16 0.000 0.000 0.243
Al17 0.168 0.832 0.891
Al18 0.333 0.667 0.028
O25 0.667 0.333 0.446
O26 0.182 0.818 0.249
O27 0.005 0.502 0.648
Al19 0.831 0.662 0.108
O28 0.498 0.995 0.648
Sr2 0.667 0.333 0.251
O29 0.845 0.690 0.948
Al20 0.333 0.667 0.471
O30 0.498 0.502 0.648
Al21 0.831 0.169 0.108
Al22 0.338 0.169 0.108
Al23 0.000 0.000 0.743
O31 0.818 0.182 0.749
O32 0.818 0.636 0.749
O33 0.636 0.818 0.249
O34 0.155 0.310 0.448
Al24 0.832 0.168 0.391
O35 0.691 0.846 0.052
O36 0.667 0.333 0.054
O37 0.502 0.498 0.148
O38 0.690 0.845 0.448

---

# 11
Material: SrLiYNi2
Method: DFT, GGA-PBEsol
State: relaxed

Calculated values
SG: P4/mmm (123)
Formation energy (eV per atom): 0.99
N(E_F) (states/eV per cell): 5.436
Magnetization (μB/atom): 0.0000

Cell: 4.766 4.766 5.885 Å, 90.00 90.00 90.00°
Positions (direct):
Ni1 0.500 0.000 0.000
Y1 0.000 0.000 0.000
Sr1 0.000 0.000 0.500
Li1 0.500 0.500 0.500
Ni2 0.000 0.500 0.000

---

# 12
Material: Ca3Ta2O8
Method: DFT, GGA-PBEsol
State: relaxed

Calculated values
E_form (uncorrected) (meV per atom): -3043
SG: C2/c (15)
N(E_F) (states/eV per cell): 0.000
Magnetization (μB/atom): 0.0000

Cell: 6.611 6.611 9.086 Å, 72.79 72.79 83.08°
Positions (direct):
O1 0.627 0.815 0.686
O2 0.933 0.314 0.643
O3 0.067 0.686 0.357
Ca1 0.396 0.264 0.001
Ca2 0.736 0.604 0.499
O4 0.060 0.902 0.612
O5 0.282 0.598 0.028
O6 0.902 0.060 0.112
Ca3 0.264 0.396 0.501
O7 0.815 0.627 0.186
Ta1 0.781 0.067 0.621
O8 0.314 0.933 0.143
Ta2 0.067 0.781 0.121
Ta3 0.933 0.219 0.879
O9 0.185 0.373 0.814
Ca4 0.722 0.278 0.250
O10 0.098 0.940 0.888
O11 0.718 0.402 0.972
O12 0.373 0.185 0.314
Ca5 0.604 0.736 0.999
O13 0.598 0.282 0.528
O14 0.402 0.718 0.472
Ta4 0.219 0.933 0.379
O15 0.940 0.098 0.388
Ca6 0.278 0.722 0.750
O16 0.686 0.067 0.857

---

Please write out number 5 again, unchanged.
Material: BeHgW2
Method: DFT, GGA-PBEsol
State: relaxed

Calculated values
SG: Cmmm (65)
Formation energy (eV per atom): 0.69
N(E_F) (states/eV per cell): 1.677
Magnetization (μB/atom): 0.0000

Cell: 2.721 5.019 5.019 Å, 116.76 90.00 90.00°
Positions (direct):
Be1 0.500 0.000 0.000
W1 0.000 0.500 0.000
Hg1 0.500 0.500 0.500
W2 0.000 0.000 0.500

---

Question: Among the records above, which one has the highest magnetization?
Answer: RbLiNO2

---

Question: Number 12 is which compound?
Answer: Ca3Ta2O8

---

Question: The highest magnetization belongs to which entry?
Answer: RbLiNO2